Here is a relaxed In4Ir crystal from Alexandria via LeMat-Bulk. Energies are from PBE.

Lattice parameters (Å, degrees): 8.8698 8.8698 8.8698 154.94 154.94 35.73
Sites, in units of the cell vectors:
In  0.7500  0.2500  0.5000
In  0.5837  0.5837  0.0000
In  0.4163  0.4163  0.0000
In  0.2500  0.7500  0.5000
Ir  0.0000  0.0000  0.0000

Space group: No. 139
ΔH_f (0 K) in eV/atom: 0.551
N(E_F) in states/eV per atom: 0.936
E above lowest polymorph in meV per atom: 568